[1]
The following is a GGA-PBE calculation of a relaxed structure of Li5Ga4Cu2, from the Alexandria database.

space-group type = C2/m (12)

a = 2.8343 Å, b = 4.2005 Å, c = 14.5798 Å
α = 98.17°, β = 95.58°, γ = 90.00°
Fractional positions:
Ga 0.0452 0.5453 0.0903
Ga 0.7238 0.7234 0.4476
Ga 0.2762 0.2766 0.5524
Ga 0.9548 0.4547 0.9097
Li 0.3738 0.3741 0.7477
Li 0.5000 0.0000 0.0000
Li 0.1797 0.1792 0.3593
Li 0.8203 0.8208 0.6407
Li 0.6262 0.6259 0.2523
Cu 0.9121 0.9125 0.8243
Cu 0.0879 0.0875 0.1757

---

[2]
The following is a GGA-PBE calculation of a relaxed structure of Li14GaCu, from the Alexandria database.

space-group type = Amm2 (38)

a = 5.6899 Å, b = 5.6899 Å, c = 9.1795 Å
α = 90.00°, β = 90.00°, γ = 107.14°
Fractional positions:
Li 0.3531 0.1115 0.7262
Li 0.8885 0.6469 0.7262
Li 0.8885 0.6469 0.2738
Li 0.6369 0.3631 0.0000
Li 0.1586 0.8414 0.0000
Li 0.1230 0.3287 0.0000
Li 0.3901 0.6099 0.2456
Li 0.6713 0.8770 0.0000
Li 0.1324 0.4145 0.5000
Li 0.8581 0.1419 0.7215
Li 0.3901 0.6099 0.7544
Li 0.3531 0.1115 0.2738
Li 0.5855 0.8676 0.5000
Li 0.8581 0.1419 0.2785
Ga 0.6152 0.3848 0.5000
Cu 0.0976 0.9024 0.5000

---

[3]
The following is a GGA-PBE calculation of a relaxed structure of LiGa2Cu, from the Alexandria database.

space-group type = P4/mmm (123)

a = 2.7575 Å, b = 2.7575 Å, c = 7.8867 Å
α = 90.00°, β = 90.00°, γ = 90.00°
Fractional positions:
Ga 0.0000 0.0000 0.7670
Ga 0.0000 0.0000 0.2330
Cu 0.5000 0.5000 0.0000
Li 0.5000 0.5000 0.5000

---

| no. | formation energy (eV per atom) | magnetization (μB/atom) |
| --- | --- | --- |
| 1 | -0.1738 | 0.00 |
| 2 | -0.0303 | 0.00 |
| 3 | -0.1820 | 0.00 |